No. 1
# BAsPt2

BAsPt2 after structural relaxation (PBE-GGA, Alexandria).

Summary:
- Energy above the most stable polymorph in this dataset: 649 meV/atom
- Space-group type: Fm-3m
- DOS at the Fermi energy: 0.5014 states/eV/atom
- Magnetization: 0.00 μB per cell
- Density: 14.05 g/cm³
- Uncorrected energy: -5.314 eV/atom
- Calculated formation energy: 0.54 eV/atom

Cell and atoms, written as POSCAR:
```
BAsPt2
1.0
0.0000 3.0412 3.0412
3.0412 0.0000 3.0412
3.0412 3.0412 0.0000
As B Pt
1 1 2
direct
0.5000 0.5000 0.5000 As
0.0000 0.0000 0.0000 B
0.2500 0.2500 0.2500 Pt
0.7500 0.7500 0.7500 Pt
```

---

No. 2
# B2AsPt

B2AsPt after structural relaxation (PBE-GGA, Alexandria).

Summary:
- Space-group type: I-42d
- DOS at the Fermi energy: 0.4635 states/eV/atom
- Magnetization: 0.00 μB per cell
- Density: 8.58 g/cm³
- Uncorrected energy: -5.845 eV/atom
- Calculated formation energy: 0.17 eV/atom

Cell and atoms, written as POSCAR:
```
B2AsPt
1.0
-1.3757 1.0934 -4.5982
1.3348 -4.5043 -1.4703
-4.3116 -3.2744 -2.1235
As B Pt
2 4 2
direct
0.5000 0.5000 0.0000 As
0.2500 0.7500 0.5000 As
0.6244 0.1250 0.2500 B
0.1256 0.6250 0.2500 B
0.3750 0.3756 0.7500 B
0.8750 0.8744 0.7500 B
0.0000 0.0000 0.0000 Pt
0.7500 0.2500 0.5000 Pt
```

---

No. 3
# BAsPt3

BAsPt3 after structural relaxation (PBE-GGA, Alexandria).

Summary:
- Energy above the most stable polymorph in this dataset: 0 meV/atom
- Space-group type: Pm-3m
- DOS at the Fermi energy: 0.4218 states/eV/atom
- Magnetization: 0.00 μB per cell
- Density: 14.49 g/cm³
- Uncorrected energy: -5.848 eV/atom
- Calculated formation energy: 0.04 eV/atom

Cell and atoms, written as POSCAR:
```
BAsPt3
1.0
4.2529 0.0000 0.0000
0.0000 4.2529 0.0000
0.0000 0.0000 4.2529
As B Pt
1 1 3
direct
0.5000 0.5000 0.5000 As
0.0000 0.0000 0.0000 B
0.0000 0.5000 0.0000 Pt
0.0000 0.0000 0.5000 Pt
0.5000 0.0000 0.0000 Pt
```

---

No. 4
# BAsPt2

BAsPt2 after structural relaxation (PBE-GGA, Alexandria).

Summary:
- Energy above the most stable polymorph in this dataset: 0 meV/atom
- Space-group type: I-42d
- DOS at the Fermi energy: 0.3312 states/eV/atom
- Magnetization: 0.00 μB per cell
- Density: 11.34 g/cm³
- Uncorrected energy: -5.963 eV/atom
- Calculated formation energy: -0.11 eV/atom

Cell and atoms, written as POSCAR:
```
BAsPt2
1.0
-4.1335 -0.5210 -2.8018
-2.0374 -2.9111 3.5471
-5.2799 2.7523 2.7793
As B Pt
2 2 4
direct
0.0000 0.0000 0.0000 As
0.7500 0.2500 0.5000 As
0.5000 0.5000 0.0000 B
0.2500 0.7500 0.5000 B
0.5577 0.1250 0.2500 Pt
0.1923 0.6250 0.2500 Pt
0.3750 0.4423 0.7500 Pt
0.8750 0.8077 0.7500 Pt
```